[1]
Below is a relaxed structure of Pm4YHg, with properties calculated at the PBE-GGA level. Values from VASP.

E_tot ... -26.649 eV for the cell shown
DFT formation energy ... -0.15 eV per atom
V ... 31.85 Å³/atom
Theoretical density ... 7556 kg/m3

Geometry as Quantum ESPRESSO input:
```
&SYSTEM
  ibrav = 0, nat = 6, ntyp = 3
/
ATOMIC_SPECIES
Pm 145.00 Pm.upf
Y 88.91 Y.upf
Hg 200.59 Hg.upf
ATOMIC_POSITIONS crystal
Pm 0.500 0.500 0.178
Pm 0.000 0.000 0.644
Pm 0.000 0.000 0.356
Pm 0.500 0.500 0.822
Y 0.000 0.000 0.000
Hg 0.500 0.500 0.500
CELL_PARAMETERS angstrom
-1.501 -2.980 1.536
2.657 -0.031 2.536
-7.885 8.281 8.361
```


[2]
Below is a relaxed structure of Pm3YHg12, with properties calculated at the PBE-GGA level. Values from VASP.

E_tot ... -29.824 eV for the cell shown
DFT formation energy ... -0.34 eV per atom
V ... 25.42 Å³/atom
Theoretical density ... 11965 kg/m3

Geometry as Quantum ESPRESSO input:
```
&SYSTEM
  ibrav = 0, nat = 16, ntyp = 3
/
ATOMIC_SPECIES
Pm 145.00 Pm.upf
Y 88.91 Y.upf
Hg 200.59 Hg.upf
ATOMIC_POSITIONS crystal
Pm 0.000 0.000 0.248
Pm 0.000 0.000 0.500
Pm 0.000 0.000 0.752
Y 0.000 0.000 0.000
Hg 0.500 0.500 0.000
Hg 0.500 0.500 0.248
Hg 0.500 0.500 0.500
Hg 0.500 0.500 0.752
Hg 0.500 0.000 0.123
Hg 0.500 0.000 0.374
Hg 0.500 0.000 0.626
Hg 0.500 0.000 0.877
Hg 0.000 0.500 0.123
Hg 0.000 0.500 0.374
Hg 0.000 0.500 0.626
Hg 0.000 0.500 0.877
CELL_PARAMETERS angstrom
-3.165 0.233 -3.340
-3.165 -1.705 2.881
-4.534 17.780 5.539
```


[3]
Below is a relaxed structure of Pm2Y2Hg3, with properties calculated at the PBE-GGA level. Values from VASP.

E_tot ... -25.671 eV for the cell shown
DFT formation energy ... -0.33 eV per atom
V ... 29.09 Å³/atom
Theoretical density ... 8722 kg/m3

Geometry as Quantum ESPRESSO input:
```
&SYSTEM
  ibrav = 0, nat = 7, ntyp = 3
/
ATOMIC_SPECIES
Pm 145.00 Pm.upf
Y 88.91 Y.upf
Hg 200.59 Hg.upf
ATOMIC_POSITIONS crystal
Pm 0.256 0.128 0.383
Pm 0.744 0.872 0.617
Y 0.756 0.378 0.134
Y 0.244 0.622 0.866
Hg 0.000 0.000 0.000
Hg 0.503 0.251 0.755
Hg 0.497 0.749 0.245
CELL_PARAMETERS angstrom
5.045 -0.010 -1.402
-2.727 4.487 -0.001
-0.174 -0.101 9.071
```


[4]
Below is a relaxed structure of Pm2Y3Hg4, with properties calculated at the PBE-GGA level. Values from VASP.

E_tot ... -66.631 eV for the cell shown
DFT formation energy ... -0.36 eV per atom
V ... 28.62 Å³/atom
Theoretical density ... 8761 kg/m3

Geometry as Quantum ESPRESSO input:
```
&SYSTEM
  ibrav = 0, nat = 18, ntyp = 3
/
ATOMIC_SPECIES
Pm 145.00 Pm.upf
Y 88.91 Y.upf
Hg 200.59 Hg.upf
ATOMIC_POSITIONS crystal
Pm 0.095 0.587 0.191
Pm 0.905 0.413 0.809
Pm 0.405 0.087 0.809
Pm 0.595 0.913 0.191
Y 0.000 0.000 0.000
Y 0.500 0.500 0.000
Y 0.511 0.750 0.522
Y 0.989 0.250 0.478
Y 0.489 0.250 0.478
Y 0.011 0.750 0.522
Hg 0.684 0.750 0.868
Hg 0.816 0.250 0.132
Hg 0.316 0.250 0.132
Hg 0.184 0.750 0.868
Hg 0.168 0.970 0.335
Hg 0.832 0.030 0.665
Hg 0.332 0.470 0.665
Hg 0.668 0.530 0.335
CELL_PARAMETERS angstrom
7.038 0.000 0.000
0.000 8.147 0.000
-3.519 0.000 8.984
```


[5]
Below is a relaxed structure of Pm3Y4Hg, with properties calculated at the PBE-GGA level. Values from VASP.

E_tot ... -41.333 eV for the cell shown
DFT formation energy ... -0.12 eV per atom
V ... 31.50 Å³/atom
Theoretical density ... 6531 kg/m3

Geometry as Quantum ESPRESSO input:
```
&SYSTEM
  ibrav = 0, nat = 8, ntyp = 3
/
ATOMIC_SPECIES
Y 88.91 Y.upf
Hg 200.59 Hg.upf
Pm 145.00 Pm.upf
ATOMIC_POSITIONS crystal
Y 0.000 0.000 0.897
Y 0.000 0.000 0.103
Y 0.000 0.000 0.368
Y 0.000 0.000 0.632
Hg 0.500 0.500 0.000
Pm 0.500 0.500 0.235
Pm 0.500 0.500 0.500
Pm 0.500 0.500 0.765
CELL_PARAMETERS angstrom
3.620 0.000 0.000
0.000 3.620 0.000
0.000 0.000 19.235
```


[6]
Below is a relaxed structure of PmY7Hg4, with properties calculated at the PBE-GGA level. Values from VASP.

E_tot ... -52.734 eV for the cell shown
DFT formation energy ... -0.13 eV per atom
V ... 28.93 Å³/atom
Theoretical density ... 7507 kg/m3

Geometry as Quantum ESPRESSO input:
```
&SYSTEM
  ibrav = 0, nat = 12, ntyp = 3
/
ATOMIC_SPECIES
Pm 145.00 Pm.upf
Y 88.91 Y.upf
Hg 200.59 Hg.upf
ATOMIC_POSITIONS crystal
Pm 0.000 0.000 0.000
Y 0.791 0.883 0.534
Y 0.209 0.117 0.466
Y 0.066 0.595 0.272
Y 0.934 0.405 0.728
Y 0.270 0.680 0.779
Y 0.500 0.000 0.000
Y 0.730 0.320 0.221
Hg 0.548 0.270 0.634
Hg 0.452 0.730 0.366
Hg 0.688 0.662 0.961
Hg 0.312 0.338 0.039
CELL_PARAMETERS angstrom
5.691 0.000 0.000
2.846 8.520 0.856
2.846 1.044 7.265
```


[7]
Below is a relaxed structure of PmYHg, with properties calculated at the PBE-GGA level. Values from VASP.

E_tot ... -24.923 eV for the cell shown
DFT formation energy ... -0.32 eV per atom
V ... 28.97 Å³/atom
Theoretical density ... 8303 kg/m3

Geometry as Quantum ESPRESSO input:
```
&SYSTEM
  ibrav = 0, nat = 6, ntyp = 3
/
ATOMIC_SPECIES
Pm 145.00 Pm.upf
Hg 200.59 Hg.upf
Y 88.91 Y.upf
ATOMIC_POSITIONS crystal
Pm 0.911 0.089 0.750
Pm 0.089 0.911 0.250
Hg 0.247 0.753 0.750
Hg 0.753 0.247 0.250
Y 0.396 0.604 0.250
Y 0.604 0.396 0.750
CELL_PARAMETERS angstrom
6.552 -2.083 0.000
-3.210 6.080 0.000
0.000 0.000 5.243
```


[8]
Below is a relaxed structure of PmYHg4, with properties calculated at the PBE-GGA level. Values from VASP.

E_tot ... -14.552 eV for the cell shown
DFT formation energy ... -0.36 eV per atom
V ... 25.76 Å³/atom
Theoretical density ... 11133 kg/m3

Geometry as Quantum ESPRESSO input:
```
&SYSTEM
  ibrav = 0, nat = 6, ntyp = 3
/
ATOMIC_SPECIES
Pm 145.00 Pm.upf
Y 88.91 Y.upf
Hg 200.59 Hg.upf
ATOMIC_POSITIONS crystal
Pm 0.500 0.500 0.500
Y 0.000 0.000 0.000
Hg 0.828 0.503 0.840
Hg 0.340 0.991 0.328
Hg 0.172 0.497 0.160
Hg 0.660 0.009 0.672
CELL_PARAMETERS angstrom
-1.611 1.121 3.360
-5.537 1.401 -0.868
-0.427 -6.755 4.303
```


[9]
Below is a relaxed structure of Pm2YHg, with properties calculated at the PBE-GGA level. Values from VASP.

E_tot ... -15.906 eV for the cell shown
DFT formation energy ... 0.09 eV per atom
V ... 33.47 Å³/atom
Theoretical density ... 7187 kg/m3

Geometry as Quantum ESPRESSO input:
```
&SYSTEM
  ibrav = 0, nat = 4, ntyp = 3
/
ATOMIC_SPECIES
Y 88.91 Y.upf
Hg 200.59 Hg.upf
Pm 145.00 Pm.upf
ATOMIC_POSITIONS crystal
Y 0.500 0.500 0.500
Hg 0.000 0.000 0.000
Pm 0.088 0.088 0.735
Pm 0.912 0.912 0.265
CELL_PARAMETERS angstrom
3.554 0.000 0.000
1.777 3.078 0.000
1.777 1.026 12.240
```


[10]
Below is a relaxed structure of PmY2Hg2, with properties calculated at the PBE-GGA level. Values from VASP.

E_tot ... -40.531 eV for the cell shown
DFT formation energy ... -0.40 eV per atom
V ... 28.22 Å³/atom
Theoretical density ... 8520 kg/m3

Geometry as Quantum ESPRESSO input:
```
&SYSTEM
  ibrav = 0, nat = 10, ntyp = 3
/
ATOMIC_SPECIES
Pm 145.00 Pm.upf
Y 88.91 Y.upf
Hg 200.59 Hg.upf
ATOMIC_POSITIONS crystal
Pm 0.000 0.000 0.000
Pm 0.000 0.500 0.500
Y 0.500 0.166 0.666
Y 0.500 0.666 0.834
Y 0.500 0.834 0.334
Y 0.500 0.334 0.166
Hg 0.000 0.367 0.867
Hg 0.000 0.867 0.633
Hg 0.000 0.633 0.133
Hg 0.000 0.133 0.367
CELL_PARAMETERS angstrom
-0.393 2.574 -2.792
-8.207 -2.353 -1.015
-2.405 5.897 5.775
```


[11]
Below is a relaxed structure of Pm3YHg7, with properties calculated at the PBE-GGA level. Values from VASP.

E_tot ... -53.976 eV for the cell shown
DFT formation energy ... -0.38 eV per atom
V ... 26.85 Å³/atom
Theoretical density ... 10841 kg/m3

Geometry as Quantum ESPRESSO input:
```
&SYSTEM
  ibrav = 0, nat = 22, ntyp = 3
/
ATOMIC_SPECIES
Pm 145.00 Pm.upf
Y 88.91 Y.upf
Hg 200.59 Hg.upf
ATOMIC_POSITIONS crystal
Pm 0.078 0.156 0.429
Pm 0.922 0.844 0.571
Pm 0.242 0.484 0.750
Pm 0.758 0.516 0.250
Pm 0.078 0.156 0.071
Pm 0.922 0.844 0.929
Y 0.906 0.811 0.250
Y 0.094 0.189 0.750
Hg 0.368 0.736 0.750
Hg 0.632 0.264 0.250
Hg 0.477 0.954 0.383
Hg 0.523 0.046 0.617
Hg 0.523 0.046 0.883
Hg 0.477 0.954 0.117
Hg 0.342 0.684 0.403
Hg 0.658 0.316 0.597
Hg 0.208 0.417 0.432
Hg 0.792 0.583 0.568
Hg 0.792 0.583 0.932
Hg 0.208 0.417 0.068
Hg 0.342 0.684 0.097
Hg 0.658 0.316 0.903
CELL_PARAMETERS angstrom
3.950 0.000 0.000
-1.975 12.513 0.000
0.000 0.000 11.951
```


[12]
Below is a relaxed structure of PmY4Hg5, with properties calculated at the PBE-GGA level. Values from VASP.

E_tot ... -37.142 eV for the cell shown
DFT formation energy ... -0.50 eV per atom
V ... 26.28 Å³/atom
Theoretical density ... 9501 kg/m3

Geometry as Quantum ESPRESSO input:
```
&SYSTEM
  ibrav = 0, nat = 10, ntyp = 3
/
ATOMIC_SPECIES
Pm 145.00 Pm.upf
Y 88.91 Y.upf
Hg 200.59 Hg.upf
ATOMIC_POSITIONS crystal
Pm 0.000 0.000 0.000
Y 0.000 0.000 0.203
Y 0.000 0.000 0.401
Y 0.000 0.000 0.599
Y 0.000 0.000 0.797
Hg 0.500 0.500 0.106
Hg 0.500 0.500 0.302
Hg 0.500 0.500 0.500
Hg 0.500 0.500 0.698
Hg 0.500 0.500 0.894
CELL_PARAMETERS angstrom
-2.860 -2.408 -0.094
2.121 -2.446 -1.871
5.745 -7.456 16.262
```